The following is a DFT calculation (GGA-PBE) of a geometry-optimized Pm2BPd4Pt2 structure.

Output
**DFT formation energy**: -0.848 eV/atom
**DFT total energy**: -56.7 eV for the cell shown

a b c (Å): 6.036 6.036 6.036
angles (deg): 89.76 120.14 120.14
Sites, in units of the cell vectors:
Pm  0.500  0.750  0.250
Pm  0.500  0.250  0.750
Pd  0.000  0.260  0.740
Pd  0.000  0.740  0.260
Pd  0.480  0.740  0.740
Pd  0.520  0.260  0.260
Pt  0.000  0.248  0.248
Pt  0.000  0.752  0.752
B  0.000  0.000  0.000